Entry 1:
Crystalline Ag2Hg2Se at its relaxed geometry. Source: Alexandria via LeMat-Bulk, functional GGA-PBE.

Unit cell a=7.1898 b=7.1898 c=4.4089 alpha=90.00 beta=90.00 gamma=90.00
Last column: nearest neighbours and their distance in Å.
Element x y z (fractional)
Ag 0.1486 0.3514 0.0000  2 Se 2.74, 2 Hg 2.99, 1 Ag 3.02
Ag 0.3514 0.8514 0.0000  2 Se 2.74, 2 Hg 2.99, 1 Ag 3.02
Ag 0.6486 0.1486 0.0000  2 Se 2.74, 2 Hg 2.99, 1 Ag 3.02
Ag 0.8514 0.6486 0.0000  2 Se 2.74, 2 Hg 2.99, 1 Ag 3.02
Hg 0.1524 0.6524 0.5000  6 Ag 2.99-3.09, 1 Hg 3.10
Hg 0.3476 0.1524 0.5000  6 Ag 2.99-3.09, 1 Hg 3.10
Hg 0.6524 0.8476 0.5000  6 Ag 2.99-3.09, 1 Hg 3.10
Hg 0.8476 0.3476 0.5000  6 Ag 2.99-3.09, 1 Hg 3.10
Se 0.0000 0.0000 0.0000  4 Ag 2.74
Se 0.5000 0.5000 0.0000  4 Ag 2.74

Computed properties:
**E_tot**: -1.8631 eV per atom
**Formation energy without anion corrections**: 46 kJ/mol of formula units



Entry 2:
Crystalline AgHg2Se at its relaxed geometry. Source: Alexandria via LeMat-Bulk, functional GGA-PBE.

Unit cell a=6.4449 b=6.4449 c=6.4449 alpha=101.33 beta=101.33 gamma=127.37
Last column: nearest neighbours and their distance in Å.
Element x y z (fractional)
Ag 0.0000 0.0000 0.0000  2 Se 2.86, 4 Hg 3.02
Ag 0.7500 0.2500 0.5000  2 Se 2.86, 4 Hg 3.02
Hg 0.1331 0.6250 0.0081  2 Hg 2.86, 2 Se 2.93, 2 Ag 3.02
Hg 0.3750 0.3831 0.5081  2 Hg 2.86, 2 Se 2.93, 2 Ag 3.02
Hg 0.6169 0.1250 0.9919  2 Hg 2.86, 2 Se 2.93, 2 Ag 3.02
Hg 0.8750 0.8669 0.4919  2 Hg 2.86, 2 Se 2.93, 2 Ag 3.02
Se 0.2500 0.7500 0.5000  2 Ag 2.86, 4 Hg 2.93
Se 0.5000 0.5000 0.0000  2 Ag 2.86, 4 Hg 2.93

Computed properties:
**E_tot**: -1.6010 eV per atom
**Formation energy without anion corrections**: 52 kJ/mol of formula units



Entry 3:
Crystalline Ag3HgSe at its relaxed geometry. Source: Alexandria via LeMat-Bulk, functional GGA-PBE.

Unit cell a=5.2156 b=5.2156 c=5.2156 alpha=90.00 beta=90.00 gamma=90.00
Last column: nearest neighbours and their distance in Å.
Element x y z (fractional)
Ag 0.0000 0.0000 0.5000  2 Hg 2.61
Ag 0.0000 0.5000 0.0000  2 Hg 2.61
Ag 0.5000 0.0000 0.0000  2 Hg 2.61
Hg 0.0000 0.0000 0.0000  6 Ag 2.61
Se 0.5000 0.5000 0.5000  12 Ag 3.69

Computed properties:
**E_tot**: -1.7468 eV per atom
**Formation energy without anion corrections**: 348 kJ/mol of formula units



Entry 4:
Crystalline AgHg2Se at its relaxed geometry. Source: Alexandria via LeMat-Bulk, functional GGA-PBE.

Unit cell a=5.3560 b=5.3560 c=5.3560 alpha=133.28 beta=107.06 gamma=91.21
Last column: nearest neighbours and their distance in Å.
Element x y z (fractional)
Ag 0.0000 0.0000 0.0000  2 Se 2.66, 2 Hg 2.85
Hg 0.2531 0.7531 0.5000  2 Ag 2.85, 2 Hg 2.92
Hg 0.5208 0.5208 0.0000  2 Se 2.91, 2 Hg 2.92
Se 0.7857 0.2857 0.5000  2 Ag 2.66, 2 Hg 2.91

Computed properties:
**E_tot**: -1.6310 eV per atom
**Formation energy without anion corrections**: 40 kJ/mol of formula units